Below is crystalline P3Ru at its relaxed geometry, with properties calculated at the PBE level.

Its energy above the most stable polymorph in this dataset is 0.435 eV per atom. The crystal system is monoclinic.

It has space group Cm (No. 8), with a = 11.2389 Å, b = 3.1479 Å, c = 3.5601 Å, α = 90.00°, β = 107.77° and γ = 90.00°. The distinct sites, in fractional coordinates, are P at (0.0000, 0.0000, 0.0000), P at (0.0504, 0.5000, 0.6358), P at (0.2211, 0.0000, 0.2936) and Ru at (0.2713, 0.5000, 0.8394).


Below is crystalline PRu2 at its relaxed geometry, with properties calculated at the PBE level.

The crystal system is trigonal.

It has space group P-3m1 (No. 164), with a = 4.0197 Å, b = 4.0197 Å, c = 2.8879 Å, α = 90.00°, β = 90.00° and γ = 120.00°. The distinct sites, in fractional coordinates, are P at (0.0000, 0.0000, 0.0000) and Ru at (0.3333, 0.6667, 0.7567).


Below is crystalline P3Ru at its relaxed geometry, with properties calculated at the PBE level.

Its energy above the most stable polymorph in this dataset is 0.598 eV per atom. The crystal system is hexagonal.

It has space group P-6m2 (No. 187), with a = 3.1335 Å, b = 3.1335 Å, c = 6.6814 Å, α = 90.00°, β = 90.00° and γ = 120.00°. The distinct sites, in fractional coordinates, are P at (0.0000, 0.0000, 0.0000), P at (0.3333, 0.6667, 0.2522) and Ru at (0.0000, 0.0000, 0.5000).


Below is crystalline P2Ru at its relaxed geometry, with properties calculated at the PBE level.

The crystal system is monoclinic.

It has space group C2/m (No. 12), with a = 6.5139 Å, b = 4.1086 Å, c = 3.8535 Å, α = 90.00°, β = 119.07° and γ = 90.00°. The distinct sites, in fractional coordinates, are P at (0.2355, 0.0000, 0.2733) and Ru at (0.0000, 0.5000, 0.0000).


Below is crystalline P2Ru3 at its relaxed geometry, with properties calculated at the PBE level.

The crystal system is orthorhombic.

It has space group Fdd2 (No. 43), with a = 10.4336 Å, b = 11.1032 Å, c = 4.7463 Å, α = 90.00°, β = 90.00° and γ = 90.00°. The distinct sites, in fractional coordinates, are P at (0.0358, 0.1844, 0.0000), Ru at (0.0000, 0.0000, 0.7683) and Ru at (0.1118, 0.4345, 0.7729).


Below is crystalline P2Ru at its relaxed geometry, with properties calculated at the PBE level.

The crystal system is orthorhombic.

It has space group Immm (No. 71), with a = 3.9352 Å, b = 4.4773 Å, c = 5.1336 Å, α = 90.00°, β = 90.00° and γ = 90.00°. The distinct sites, in fractional coordinates, are P at (0.0000, 0.0000, 0.2221) and Ru at (0.0000, 0.5000, 0.0000).


Below is crystalline P3Ru at its relaxed geometry, with properties calculated at the PBE level.

Its energy above the most stable polymorph in this dataset is 0.477 eV per atom. The crystal system is monoclinic.

It has space group Pm (No. 6), with a = 3.8069 Å, b = 4.8612 Å, c = 4.4663 Å, α = 90.00°, β = 101.85° and γ = 90.00°. The distinct sites, in fractional coordinates, are P at (0.0000, 0.0000, 0.0000), P at (0.2963, 0.2742, 0.3648) and Ru at (0.8160, 0.0000, 0.4958).


Below is crystalline PRu2 at its relaxed geometry, with properties calculated at the PBE level.

The crystal system is tetragonal.

It has space group I4/mcm (No. 140), with a = 5.6056 Å, b = 5.6056 Å, c = 5.0348 Å, α = 90.00°, β = 90.00° and γ = 90.00°. The distinct sites, in fractional coordinates, are P at (0.0000, 0.0000, 0.2500) and Ru at (0.1676, 0.3324, 0.0000).


Below is crystalline P3Ru at its relaxed geometry, with properties calculated at the PBE level.

Its energy above the most stable polymorph in this dataset is 0.448 eV per atom. The crystal system is orthorhombic.

It has space group Amm2 (No. 38), with a = 2.8046 Å, b = 3.1491 Å, c = 14.1125 Å, α = 90.00°, β = 90.00° and γ = 90.00°. The distinct sites, in fractional coordinates, are P at (0.0000, 0.0000, 0.0000), P at (0.0000, 0.0000, 0.2762), P at (0.0000, 0.0000, 0.6074) and Ru at (0.5000, 0.0000, 0.8645).


Below is crystalline P2Ru at its relaxed geometry, with properties calculated at the PBE level.

The crystal system is hexagonal.

It has space group P6_3/mmc (No. 194), with a = 4.1044 Å, b = 4.1044 Å, c = 5.7454 Å, α = 90.00°, β = 90.00° and γ = 120.00°. The distinct sites, in fractional coordinates, are P at (0.3333, 0.6667, 0.0555) and Ru at (0.0000, 0.0000, 0.2500).


Below is crystalline P3Ru5 at its relaxed geometry, with properties calculated at the PBE level.

Its energy above the most stable polymorph in this dataset is 0.174 eV per atom. The crystal system is orthorhombic.

It has space group Cmmm (No. 65), with a = 6.5475 Å, b = 8.5438 Å, c = 3.8235 Å, α = 90.00°, β = 90.00° and γ = 90.00°. The distinct sites, in fractional coordinates, are P at (0.0000, 0.0000, 0.0000), P at (0.0000, 0.3206, 0.5000), Ru at (0.0000, 0.5000, 0.0000), Ru at (0.2111, 0.0000, 0.5000) and Ru at (0.2500, 0.2500, 0.0000).


Below is crystalline P3Ru at its relaxed geometry, with properties calculated at the PBE level.

Its energy above the most stable polymorph in this dataset is 0.372 eV per atom. The crystal system is monoclinic.

It has space group Cm (No. 8), with a = 5.4980 Å, b = 4.3750 Å, c = 5.9679 Å, α = 90.00°, β = 109.86° and γ = 90.00°. The distinct sites, in fractional coordinates, are P at (0.0000, 0.0000, 0.0000), P at (0.0809, 0.5000, 0.4360), P at (0.3320, 0.0000, 0.8575) and Ru at (0.1799, 0.0000, 0.4302).


Number 1: E_form -88 meV/atom. Number 2: E_form -147 meV/atom. Number 3: E_form 75 meV/atom. Number 4: E_form -212 meV/atom. Number 5: E_form -281 meV/atom. Number 6: E_form -212 meV/atom. Number 7: E_form -46 meV/atom. Number 8: E_form -107 meV/atom. Number 9: E_form -75 meV/atom. Number 10: E_form 507 meV/atom. Number 11: E_form -175 meV/atom. Number 12: E_form -151 meV/atom.